Computed, not measured: a relaxed Ba8AlTl2 crystal at the PBE level of DFT.

The structure belongs to space group Immm (No. 71); the cell edges are 5.915, 9.740 and 17.367 Å and the angles 90.00°, 90.00° and 90.00°. The asymmetric unit holds Ba at (0.000, 0.000, 0.138), Ba at (0.000, 0.223, 0.343), Ba at (0.000, 0.319, 0.000), Al at (0.000, 0.500, 0.500) and Tl at (0.000, 0.500, 0.190).

The energy is -0.084 Ha/atom. Its total magnetic moment is 0.0 μB per cell. The formation energy is -117 meV/atom.